Material: ZnCrPO2
Method: DFT, PBE+U
State: relaxed

Summary:
Its crystal system is tetragonal. The calculation puts the spin magnetization at 2.53 μB per cell. The total energy is -4.70 eV per atom. The calculation puts the density of states at the Fermi level at 0.744 states/eV/atom.

Structure (extended XYZ):
```
5
Lattice="3.797 0.000 0.000 0.000 3.797 0.000 0.000 0.000 4.964" Properties=species:S:1:pos:R:3 pbc="T T T"
Zn 0.000 0.000 0.000
Cr 1.898 1.898 2.482
P 0.000 0.000 2.482
O 0.000 1.898 0.000
O 1.898 0.000 0.000
```